# 1
First-principles (GGA-PBE) data for a relaxed TbHoScPt crystal, as listed in the Alexandria database.

Summary:
raw total energy = -5.774 eV/atom
calculated formation energy = -379 meV/atom

Cell lengths 5.0949, 5.0949, 5.0949 Å; angles 60.00, 60.00, 60.00 degrees
Element x y z (fractional)
Sc1 0.7500 0.7500 0.7500
Tb1 0.0000 0.0000 0.0000
Ho1 0.5000 0.5000 0.5000
Pt1 0.2500 0.2500 0.2500

***

# 2
First-principles (GGA-PBE) data for a relaxed Ho2Tm3Mg7 crystal, as listed in the Alexandria database.

Summary:
raw total energy = -2.671 eV/atom
calculated formation energy = 140 meV/atom

Cell lengths 5.0923, 5.1068, 13.2313 Å; angles 101.13, 90.00, 90.00 degrees
Element x y z (fractional)
Ho1 0.0000 0.8551 0.7103
Ho2 0.0000 0.1449 0.2897
Tm1 0.5000 0.5000 0.0000
Tm2 0.5000 0.6554 0.3107
Tm3 0.5000 0.3446 0.6893
Mg1 0.0000 0.4287 0.8575
Mg2 0.0000 0.7283 0.4567
Mg3 0.0000 0.0000 0.0000
Mg4 0.0000 0.5713 0.1425
Mg5 0.5000 0.0716 0.1432
Mg6 0.5000 0.9284 0.8568
Mg7 0.0000 0.2717 0.5433

***

# 3
First-principles (GGA-PBE) data for a relaxed LiY2TcC crystal, as listed in the Alexandria database.

Summary:
raw total energy = -7.041 eV/atom
calculated formation energy = -155 meV/atom

Cell lengths 5.0174, 5.0174, 3.9727 Å; angles 90.00, 90.00, 90.00 degrees
Element x y z (fractional)
Y1 0.0000 0.5000 0.0000
Y2 0.5000 0.0000 0.0000
C1 0.0000 0.0000 0.0000
Tc1 0.0000 0.0000 0.5000
Li1 0.5000 0.5000 0.5000

***

# 4
First-principles (GGA-PBE) data for a relaxed SiSe2Br crystal, as listed in the Alexandria database.

Summary:
raw total energy = -3.610 eV/atom
formation energy without anion corrections = -94 meV per atom
energy relative to the lowest polymorph listed for this composition = 19.0 meV per atom

Cell lengths 10.3197, 10.3197, 10.3197 Å; angles 19.15, 19.15, 19.15 degrees
Element x y z (fractional)
Br1 0.7500 0.7500 0.7500
Se1 0.9652 0.9652 0.9652
Se2 0.5348 0.5348 0.5348
Si1 0.2500 0.2500 0.2500

***

# 5
First-principles (GGA-PBE) data for a relaxed NiIrPb2I crystal, as listed in the Alexandria database.

Summary:
raw total energy = -3.869 eV/atom
formation energy without anion corrections = 853 meV per atom

Cell lengths 5.2347, 5.2347, 5.6481 Å; angles 90.00, 90.00, 90.00 degrees
Element x y z (fractional)
Pb1 0.0000 0.5000 0.0000
Pb2 0.5000 0.0000 0.0000
I1 0.0000 0.0000 0.5000
Ir1 0.0000 0.0000 0.0000
Ni1 0.5000 0.5000 0.5000

***

# 6
First-principles (GGA-PBE) data for a relaxed CdTeSe crystal, as listed in the Alexandria database.

Summary:
raw total energy = -2.782 eV/atom
formation energy without anion corrections = -268 meV per atom
energy relative to the lowest polymorph listed for this composition = 40.4 meV per atom

Cell lengths 4.2998, 6.0613, 8.7587 Å; angles 74.67, 77.83, 71.22 degrees
Element x y z (fractional)
Cd1 0.7466 0.6635 0.3272
Cd2 0.2534 0.3365 0.6728
Te1 0.3590 0.8996 0.9015
Te2 0.6410 0.1004 0.0985
Se1 0.6286 0.6271 0.6554
Se2 0.3714 0.3729 0.3446